Entry 1:
# PBE U3Pd2Au4, relaxed
data_U3Pd2Au4
_symmetry_space_group_name_H-M 'C 1 2/c 1'
_symmetry_Int_Tables_number 15
_cell_length_a 14.4892
_cell_length_b 8.3581
_cell_length_c 5.9540
_cell_angle_alpha 90.00
_cell_angle_beta 90.01
_cell_angle_gamma 90.00
loop_
_symmetry_equiv_pos_as_xyz
'x,y,z'
'-x,-y,-z'
'-x,y,-z+1/2'
'x,-y,z+1/2'
'x+1/2,y+1/2,z'
'-x+1/2,-y+1/2,-z'
'-x+1/2,y+1/2,-z+1/2'
'x+1/2,-y+1/2,z+1/2'
loop_
_atom_site_label
_atom_site_fract_x
_atom_site_fract_y
_atom_site_fract_z
U1 0.0000 0.0003 0.2500
U2 0.1702 0.5001 0.2502
Pd1 0.1674 0.1671 0.0013
Au1 0.0021 0.3333 0.0000
Au2 0.1656 0.1658 0.5010
# formation energy: -0.295 eV/atom


Entry 2:
# PBE SrAg2AsC, relaxed
data_SrAg2AsC
_symmetry_space_group_name_H-M 'P 4/m m m'
_symmetry_Int_Tables_number 123
_symmetry_space_group_name_Hall '-P 4 2'
_cell_length_a 4.3795
_cell_length_b 4.3795
_cell_length_c 5.2625
_cell_angle_alpha 90.00
_cell_angle_beta 90.00
_cell_angle_gamma 90.00
loop_
_atom_site_label
_atom_site_fract_x
_atom_site_fract_y
_atom_site_fract_z
Sr1 0.0000 0.0000 0.0000
Ag1 0.0000 0.5000 0.5000
As1 0.5000 0.5000 0.0000
C1 0.0000 0.0000 0.5000
# formation energy: 0.455 eV/atom


Entry 3:
# PBE Pr3Y2Er6Tm, relaxed
data_Pr3Y2Er6Tm
_symmetry_space_group_name_H-M 'C 1 2/m 1'
_symmetry_Int_Tables_number 12
_cell_length_a 6.1939
_cell_length_b 10.7212
_cell_length_c 11.7828
_cell_angle_alpha 90.00
_cell_angle_beta 100.07
_cell_angle_gamma 90.00
loop_
_symmetry_equiv_pos_as_xyz
'x,y,z'
'-x,-y,-z'
'-x,y,-z'
'x,-y,z'
'x+1/2,y+1/2,z'
'-x+1/2,-y+1/2,-z'
'-x+1/2,y+1/2,-z'
'x+1/2,-y+1/2,z'
loop_
_atom_site_label
_atom_site_fract_x
_atom_site_fract_y
_atom_site_fract_z
Pr1 0.0000 0.0000 0.0000
Pr2 0.0000 0.3333 0.0000
Y1 0.0000 0.1666 0.5000
Er1 0.2479 0.3338 0.7457
Er2 0.2494 0.0000 0.7457
Tm1 0.0000 0.5000 0.5000
# formation energy: 0.025 eV/atom


Entry 4:
# PBE BaAgP, relaxed
data_BaAgP
_symmetry_space_group_name_H-M 'P 63/m m c'
_symmetry_Int_Tables_number 194
_symmetry_space_group_name_Hall '-P 6c 2c'
_cell_length_a 5.8210
_cell_length_b 5.8210
_cell_length_c 12.6456
_cell_angle_alpha 90.00
_cell_angle_beta 90.00
_cell_angle_gamma 120.00
loop_
_atom_site_label
_atom_site_fract_x
_atom_site_fract_y
_atom_site_fract_z
Ba1 0.0000 0.0000 0.2500
Ag1 0.3333 0.6667 0.2500
P1 0.0000 0.0000 0.0000
# formation energy: 0.771 eV/atom


Entry 5:
# PBE LiAc2ThS5, relaxed
data_LiAc2ThS5
_symmetry_space_group_name_H-M 'C m c 21'
_symmetry_Int_Tables_number 36
_cell_length_a 4.1516
_cell_length_b 17.1619
_cell_length_c 12.4012
_cell_angle_alpha 90.00
_cell_angle_beta 90.00
_cell_angle_gamma 90.00
loop_
_symmetry_equiv_pos_as_xyz
'x,y,z'
'-x,-y,z+1/2'
'-x,y,z'
'x,-y,z+1/2'
'x+1/2,y+1/2,z'
'-x+1/2,-y+1/2,z+1/2'
'-x+1/2,y+1/2,z'
'x+1/2,-y+1/2,z+1/2'
loop_
_atom_site_label
_atom_site_fract_x
_atom_site_fract_y
_atom_site_fract_z
Li1 0.0000 0.0104 0.0000
Ac1 0.0000 0.3742 0.8260
Ac2 0.0000 0.3877 0.2137
Th1 0.0000 0.3049 0.5279
S1 0.0000 0.0010 0.3065
S2 0.0000 0.1406 0.5256
S3 0.0000 0.1911 0.8718
S4 0.0000 0.2074 0.1843
S5 0.0000 0.4568 0.5823
# formation energy (no corrections): -1.9521 eV/atom


Entry 6:
# PBE CaSnRu2N, relaxed
data_CaSnRu2N
_symmetry_space_group_name_H-M 'P 4/m m m'
_symmetry_Int_Tables_number 123
_symmetry_space_group_name_Hall '-P 4 2'
_cell_length_a 5.0528
_cell_length_b 5.0528
_cell_length_c 4.1611
_cell_angle_alpha 90.00
_cell_angle_beta 90.00
_cell_angle_gamma 90.00
loop_
_atom_site_label
_atom_site_fract_x
_atom_site_fract_y
_atom_site_fract_z
Ca1 0.0000 0.0000 0.0000
Sn1 0.5000 0.5000 0.5000
Ru1 0.0000 0.5000 0.5000
N1 0.5000 0.5000 0.0000
# formation energy (no corrections): 1.3494 eV/atom


Entry 7:
# PBE K2TaAs, relaxed
data_K2TaAs
_symmetry_space_group_name_H-M 'C 1 2/m 1'
_symmetry_Int_Tables_number 12
_cell_length_a 5.5652
_cell_length_b 11.7964
_cell_length_c 3.0976
_cell_angle_alpha 90.00
_cell_angle_beta 97.97
_cell_angle_gamma 90.00
loop_
_symmetry_equiv_pos_as_xyz
'x,y,z'
'-x,-y,-z'
'-x,y,-z'
'x,-y,z'
'x+1/2,y+1/2,z'
'-x+1/2,-y+1/2,-z'
'-x+1/2,y+1/2,-z'
'x+1/2,-y+1/2,z'
loop_
_atom_site_label
_atom_site_fract_x
_atom_site_fract_y
_atom_site_fract_z
K1 0.2500 0.2500 0.0000
Ta1 0.0000 0.0000 0.5000
As1 0.0000 0.5000 0.5000
# formation energy: 0.780 eV/atom


Entry 8:
# PBE Ac2AgPd3Au12, relaxed
data_Ac2AgPd3Au12
_symmetry_space_group_name_H-M 'R -3 m'
_symmetry_Int_Tables_number 166
_symmetry_space_group_name_Hall '-R 3 2"'
_cell_length_a 8.7143
_cell_length_b 8.7143
_cell_length_c 20.5358
_cell_angle_alpha 90.00
_cell_angle_beta 90.00
_cell_angle_gamma 120.00
loop_
_atom_site_label
_atom_site_fract_x
_atom_site_fract_y
_atom_site_fract_z
Ac1 0.0000 0.0000 0.1187
Ag1 0.0000 0.0000 0.5000
Pd1 0.0000 0.5000 0.0000
Au1 0.0033 0.5017 0.3737
Au2 0.0079 0.5040 0.8717
# formation energy: -0.004 eV/atom


no.,spin magnetization (μB per cell),uncorrected energy (eV/atom)
1,30.4,-6.668
2,0.0,-3.796
3,0.0,-4.901
4,4.0,-2.623
5,0.0,-6.195
6,3.0,-5.227
7,1.2,-3.895
8,0.0,-3.669